Record 1
# LuFe2Au | OQMD | PBE | optimized geometry
data_LuFe2Au
_chemical_formula_sum 'Lu4 Fe8 Au4'
_space_group_name_H-M_alt 'F -4 3 m'
_space_group_IT_number 216
_space_group_name_Hall 'F -4 2 3'
_cell_length_a 6.437
_cell_length_b 6.437
_cell_length_c 6.437
_cell_angle_alpha 90.00
_cell_angle_beta 90.00
_cell_angle_gamma 90.00
loop_
_atom_site_label
_atom_site_type_symbol
_atom_site_fract_x
_atom_site_fract_y
_atom_site_fract_z
Lu1 Lu 0.000 0.000 0.000
Fe1 Fe 0.000 0.000 0.500
Fe2 Fe 0.250 0.250 0.750
Au1 Au 0.250 0.250 0.250
# energy relative to the elements = -0.03 eV per atom
# total moment = 19.91 μB per cell
# raw total energy = -98.1 eV for the cell shown

=====

Record 2
# AcHoPO | OQMD | PBE | optimized geometry
data_AcHoPO
_chemical_formula_sum 'Ac2 Ho2 P2 O2'
_space_group_name_H-M_alt 'P m c 21'
_space_group_IT_number 26
_space_group_name_Hall 'P 2c -2'
_cell_length_a 4.514
_cell_length_b 7.449
_cell_length_c 6.249
_cell_angle_alpha 90.00
_cell_angle_beta 90.00
_cell_angle_gamma 90.00
loop_
_atom_site_label
_atom_site_type_symbol
_atom_site_fract_x
_atom_site_fract_y
_atom_site_fract_z
Ac1 Ac 0.000 0.206 0.000
Ho1 Ho 0.500 0.381 0.566
P1 P 0.000 0.195 0.498
O1 O 0.500 0.352 0.922
# total moment = 0.03 μB per cell
# ΔE to the lowest computed polymorph = 46.4 meV/atom
# raw total energy = -54.1 eV for the cell shown

=====

Record 3
# CsInBAu | OQMD | PBE | optimized geometry
data_CsInBAu
_chemical_formula_sum 'Cs4 In4 B4 Au4'
_space_group_name_H-M_alt 'F -4 3 m'
_space_group_IT_number 216
_space_group_name_Hall 'F -4 2 3'
_cell_length_a 7.609
_cell_length_b 7.609
_cell_length_c 7.609
_cell_angle_alpha 90.00
_cell_angle_beta 90.00
_cell_angle_gamma 90.00
loop_
_atom_site_label
_atom_site_type_symbol
_atom_site_fract_x
_atom_site_fract_y
_atom_site_fract_z
Cs1 Cs 0.000 0.000 0.000
In1 In 0.250 0.250 0.250
B1 B 0.000 0.000 0.500
Au1 Au 0.250 0.250 0.750
# ΔE to the lowest computed polymorph = 179.5 meV/atom
# raw total energy = -34.1 eV for the cell shown

=====

Record 4
# Rb2PdI2Br2 | OQMD | PBE | optimized geometry
data_Rb2PdI2Br2
_chemical_formula_sum 'Rb4 Pd2 I4 Br4'
_space_group_name_H-M_alt 'C m m m'
_space_group_IT_number 65
_space_group_name_Hall '-C 2 2'
_cell_length_a 10.552
_cell_length_b 11.861
_cell_length_c 4.750
_cell_angle_alpha 90.00
_cell_angle_beta 90.00
_cell_angle_gamma 90.00
loop_
_atom_site_label
_atom_site_type_symbol
_atom_site_fract_x
_atom_site_fract_y
_atom_site_fract_z
Rb1 Rb 0.250 0.250 0.000
Pd1 Pd 0.000 0.000 0.500
I1 I 0.249 0.500 0.500
Br1 Br 0.000 0.210 0.500
# raw total energy = -42.1 eV for the cell shown

=====

Record 5
# CsLiMoPt | OQMD | PBE | optimized geometry
data_CsLiMoPt
_chemical_formula_sum 'Cs4 Li4 Mo4 Pt4'
_space_group_name_H-M_alt 'F -4 3 m'
_space_group_IT_number 216
_space_group_name_Hall 'F -4 2 3'
_cell_length_a 7.059
_cell_length_b 7.059
_cell_length_c 7.059
_cell_angle_alpha 90.00
_cell_angle_beta 90.00
_cell_angle_gamma 90.00
loop_
_atom_site_label
_atom_site_type_symbol
_atom_site_fract_x
_atom_site_fract_y
_atom_site_fract_z
Cs1 Cs 0.000 0.000 0.000
Li1 Li 0.000 0.000 0.500
Mo1 Mo 0.250 0.250 0.250
Pt1 Pt 0.250 0.250 0.750
# total moment = 15.47 μB per cell
# ΔE to the lowest computed polymorph = 331.8 meV/atom
# raw total energy = -57.5 eV for the cell shown

=====

Record 6
# NaTaFeSn | OQMD | PBE | optimized geometry
data_NaTaFeSn
_chemical_formula_sum 'Na4 Ta4 Fe4 Sn4'
_space_group_name_H-M_alt 'F -4 3 m'
_space_group_IT_number 216
_space_group_name_Hall 'F -4 2 3'
_cell_length_a 6.535
_cell_length_b 6.535
_cell_length_c 6.535
_cell_angle_alpha 90.00
_cell_angle_beta 90.00
_cell_angle_gamma 90.00
loop_
_atom_site_label
_atom_site_type_symbol
_atom_site_fract_x
_atom_site_fract_y
_atom_site_fract_z
Na1 Na 0.000 0.000 0.000
Ta1 Ta 0.000 0.000 0.500
Fe1 Fe 0.250 0.250 0.250
Sn1 Sn 0.250 0.250 0.750
# total moment = 5.86 μB per cell
# ΔE to the lowest computed polymorph = 136.8 meV/atom
# raw total energy = -94.1 eV for the cell shown